## TeHCl2 (GGA-PBE)

Data for a relaxed TeHCl2 crystal.

The calculation puts the spin magnetization at 0.0 μB per cell. The calculation puts the final energy at -2.5500 eV per atom. As for the space group: R-3m, No. 166.

Cell: 3.4955 3.4955 23.9707 Å, 90.00 90.00 120.00°
Positions (direct):
Te: 0.0000 0.0000 0.0000
Te: 0.3333 0.6667 0.6667
Te: 0.6667 0.3333 0.3333
H: 0.0000 0.0000 0.5000
H: 0.3333 0.6667 0.1667
H: 0.6667 0.3333 0.8333
Cl: 0.0000 0.0000 0.4352
Cl: 0.0000 0.0000 0.5648
Cl: 0.3333 0.6667 0.1019
Cl: 0.3333 0.6667 0.2315
Cl: 0.6667 0.3333 0.7685
Cl: 0.6667 0.3333 0.8981

=====

## TlSnW2 (GGA-PBE)

Data for a relaxed TlSnW2 crystal.

The calculation puts the spin magnetization at 0.0 μB per cell. The calculation puts the final energy at -6.9870 eV per atom. The calculated formation energy is 1.08 eV per atom. As for the space group: Fm-3m, No. 225.

Cell: 6.6953 6.6953 6.6953 Å, 90.00 90.00 90.00°
Positions (direct):
Tl: 0.0000 0.0000 0.0000
Tl: 0.0000 0.5000 0.5000
Tl: 0.5000 0.0000 0.5000
Tl: 0.5000 0.5000 0.0000
Sn: 0.0000 0.0000 0.5000
Sn: 0.0000 0.5000 0.0000
Sn: 0.5000 0.0000 0.0000
Sn: 0.5000 0.5000 0.5000
W: 0.2500 0.2500 0.2500
W: 0.2500 0.2500 0.7500
W: 0.2500 0.7500 0.2500
W: 0.2500 0.7500 0.7500
W: 0.7500 0.2500 0.2500
W: 0.7500 0.2500 0.7500
W: 0.7500 0.7500 0.2500
W: 0.7500 0.7500 0.7500